The following is a DFT calculation (SCAN) of a crystal of Co2IrOsPb relaxed with PBEsol.

Unit cell a=4.550 b=4.550 c=4.712 alpha=90.00 beta=90.00 gamma=90.00
Each line ends with the local moment (μB).
Fractional positions:
1 Pb 0.500 0.500 0.500  -0.03
2 Co 0.000 0.500 0.000  2.20
3 Co 0.500 0.000 0.000  2.20
4 Ir 0.000 0.000 0.000  0.45
5 Os 0.000 0.000 0.500  0.11

Results
- Uncorrected energy: -49.3823 eV/atom
- Formation enthalpy at 0 K: 1.2915 eV/atom